Entry 1:
DFT (PBE-GGA) results for a relaxed La2RuCl crystal.

Properties
**ΔE_f (raw)**: -0.9586 eV/atom
**Polymorph energy (0 for the lowest one)**: 50 meV per atom
**Spin magnetization**: 0.000 μB per atom

a = 4.2453 Å, b = 4.2595 Å, c = 5.8702 Å
α = 90.00°, β = 90.00°, γ = 90.00°
With the nearest neighbours (Å) after each atom.
Fractional positions:
La 0.5000 0.5000 0.3775  2 Cl 2.92-2.95, 4 Ru 3.02
La 0.0000 0.0000 0.9204  1 Ru 2.39
Ru 0.0000 0.0000 0.3275  1 La 2.39
Cl 0.5000 0.5000 0.8746  6 La 2.92-3.02

Entry 2:
DFT (PBE-GGA) results for a relaxed ErHRu crystal.

Properties
**Polymorph energy (0 for the lowest one)**: 0 meV per atom
**Spin magnetization**: 0.000 μB per atom

a = 5.0732 Å, b = 8.0038 Å, c = 5.0732 Å
α = 79.31°, β = 65.51°, γ = 100.69°
With the nearest neighbours (Å) after each atom.
Fractional positions:
H 0.6899 0.7129 0.3283  2 Ru 1.81-1.83
Er 0.2080 0.0828 0.1419  3 H 2.38-2.55
H 0.2270 0.7871 0.2912  2 Ru 1.81-1.83
Er 0.7752 0.9172 0.8749  3 H 2.38-2.55
Ru 0.7431 0.3332 0.8195  2 H 1.81-1.83
Ru 0.6600 0.1668 0.4027  2 H 1.81-1.83
Ru 0.4305 0.8332 0.5069  2 H 1.81-1.83
Ru 0.8473 0.6668 0.5900  2 H 1.81-1.83
H 0.9588 0.2871 0.0230  2 Ru 1.81-1.83
H 0.9217 0.2129 0.5601  2 Ru 1.81-1.83
Er 0.3751 0.4172 0.4748  3 H 2.38-2.55
Er 0.1081 0.5828 0.0420  3 H 2.38-2.55

Entry 3:
DFT (PBE-GGA) results for a relaxed NaLa2Tl crystal.

Properties
**Energy of formation**: -0.132 eV/atom
**Polymorph energy (0 for the lowest one)**: 0 meV per atom
**Spin magnetization**: 0.000 μB per atom

a = 5.6683 Å, b = 5.6683 Å, c = 5.6683 Å
α = 60.00°, β = 60.00°, γ = 60.00°
With the nearest neighbours (Å) after each atom.
Fractional positions:
La 0.7500 0.7500 0.7500  4 Tl 3.47, 4 Na 3.47
Tl 0.5000 0.5000 0.5000  8 La 3.47
La 0.2500 0.2500 0.2500  4 Tl 3.47, 4 Na 3.47
Na 0.0000 0.0000 0.0000  8 La 3.47

Entry 4:
DFT (PBE-GGA) results for a relaxed Ba3Li2Ac2Tl4 crystal.

Properties
**Energy of formation**: -0.174 eV/atom
**Spin magnetization**: 0.000 μB per atom

a = 5.5795 Å, b = 5.5795 Å, c = 15.3794 Å
α = 90.00°, β = 90.00°, γ = 120.00°
With the nearest neighbours (Å) after each atom.
Fractional positions:
Li 0.3333 0.6667 0.1418  4 Tl 3.20-3.23
Ba 0.0000 0.0000 0.7497  6 Tl 3.57-3.71, 3 Li 3.63, 1 Ba 3.85
Tl 0.3333 0.6667 0.8699  3 Li 3.23
Tl 0.6667 0.3333 0.1301  3 Li 3.23
Tl 0.6667 0.3333 0.6501  1 Li 3.20, 4 Ac 3.41-3.44, 3 Ba 3.57
Ac 0.6667 0.3333 0.4283  4 Tl 3.41-3.44
Ac 0.3333 0.6667 0.5717  4 Tl 3.41-3.44
Tl 0.3333 0.6667 0.3499  1 Li 3.20, 4 Ac 3.41-3.44, 3 Ba 3.57
Li 0.6667 0.3333 0.8582  4 Tl 3.20-3.23
Ba 0.0000 0.0000 0.0000  6 Tl 3.79, 2 Ba 3.85, 6 Li 3.89
Ba 0.0000 0.0000 0.2503  6 Tl 3.57-3.71, 3 Li 3.63, 1 Ba 3.85

Entry 5:
DFT (PBE-GGA) results for a relaxed FeIrSe2N crystal.

Properties
**ΔE_f (raw)**: 0.6105 eV/atom
**Polymorph energy (0 for the lowest one)**: 0 meV per atom
**Spin magnetization**: 0.000 μB per atom

a = 4.7821 Å, b = 4.7821 Å, c = 3.3171 Å
α = 90.00°, β = 90.00°, γ = 90.00°
With the nearest neighbours (Å) after each atom.
Fractional positions:
Fe 0.0000 0.0000 0.0000  2 N 1.66
Se 0.0000 0.5000 0.0000  2 Fe 2.39
Ir 0.5000 0.5000 0.5000  8 Se 2.91
Se 0.5000 0.0000 0.0000  2 Fe 2.39
N 0.0000 0.0000 0.5000  2 Fe 1.66

Entry 6:
DFT (PBE-GGA) results for a relaxed HfTa3W crystal.

Properties
**Energy of formation**: 1.327 eV/atom
**Polymorph energy (0 for the lowest one)**: 0 meV per atom
**Spin magnetization**: 0.000 μB per atom

a = 4.8603 Å, b = 4.8603 Å, c = 4.8603 Å
α = 90.00°, β = 90.00°, γ = 90.00°
With the nearest neighbours (Å) after each atom.
Fractional positions:
Ta 0.0000 0.5000 0.0000  2 W 2.43
W 0.0000 0.0000 0.0000  6 Ta 2.43
Ta 0.0000 0.0000 0.5000  2 W 2.43
Hf 0.5000 0.5000 0.5000  12 Ta 3.44
Ta 0.5000 0.0000 0.0000  2 W 2.43